Entry 1:
The following is a PBE-GGA calculation of a relaxed structure of Ac4GeRuBr2, from Alexandria.

Computed properties:
Calculated volume: 35.01 Å³ per atom
Size of the total moment: 0.000 μB per atom
SG: P2/m (10)
Final energy: -41.51 eV/f.u.

a = 4.4013 Å, b = 7.9200 Å, c = 8.3799 Å
α = 106.49°, β = 90.00°, γ = 90.00°
Fractional coordinates of all 8 atoms:
Br (0.5000, 0.0000, 0.5000)
Ru (0.5000, 0.5000, 0.0000)
Ac (0.0000, 0.2799, 0.8000)
Ac (0.0000, 0.7201, 0.2000)
Ac (0.5000, 0.2567, 0.1977)
Ge (0.0000, 0.0000, 0.0000)
Br (0.0000, 0.5000, 0.5000)
Ac (0.5000, 0.7433, 0.8023)



Entry 2:
The following is a PBE-GGA calculation of a relaxed structure of Ac8GeRu3Br4, from Alexandria.

Computed properties:
Calculated volume: 34.35 Å³ per atom
Size of the total moment: 0.000 μB per atom
SG: R-3m (166)
Final energy: -86.46 eV/f.u.

a = 8.8256 Å, b = 9.6117 Å, c = 8.8256 Å
α = 117.35°, β = 120.00°, γ = 90.00°
Fractional coordinates of all 16 atoms:
Ac (0.7139, 0.6917, 0.9529)
Ac (0.2861, 0.3083, 0.0471)
Br (0.0000, 0.0000, 0.0000)
Ac (0.2646, 0.2942, 0.5293)
Ac (0.2390, 0.6917, 0.4780)
Ac (0.7354, 0.7058, 0.4707)
Br (0.5000, 0.0000, 0.5000)
Ru (0.5000, 0.5000, 0.5000)
Ac (0.2391, 0.6917, 0.9529)
Ac (0.7609, 0.3083, 0.0471)
Ru (0.0000, 0.5000, 0.5000)
Ru (0.5000, 0.5000, 0.0000)
Ge (0.0000, 0.5000, 0.0000)
Br (0.0000, 0.0000, 0.5000)
Ac (0.7610, 0.3083, 0.5220)
Br (0.5000, 0.0000, 0.0000)



Entry 3:
The following is a PBE-GGA calculation of a relaxed structure of Ac6GeRu2Br3, from Alexandria.

Computed properties:
Calculated volume: 34.66 Å³ per atom
Size of the total moment: 0.000 μB per atom
SG: C2/m (12)
Final energy: -64.04 eV/f.u.

a = 7.6808 Å, b = 7.6808 Å, c = 8.5362 Å
α = 98.66°, β = 98.66°, γ = 120.00°
Fractional coordinates of all 12 atoms:
Ac (0.7120, 0.7120, 0.1979)
Ac (0.9345, 0.5802, 0.8020)
Br (0.8358, 0.1642, 0.5000)
Ac (0.5802, 0.9345, 0.8020)
Ac (0.0655, 0.4198, 0.1980)
Ru (0.6669, 0.3331, 0.0000)
Ru (0.3331, 0.6669, 0.0000)
Ac (0.4198, 0.0655, 0.1980)
Ac (0.2880, 0.2880, 0.8021)
Ge (0.0000, 0.0000, 0.0000)
Br (0.1642, 0.8358, 0.5000)
Br (0.5000, 0.5000, 0.5000)



Entry 4:
The following is a PBE-GGA calculation of a relaxed structure of Ac8Ge3S4Br, from Alexandria.

Computed properties:
Calculated volume: 31.49 Å³ per atom
Size of the total moment: 0.000 μB per atom
SG: R-3m (166)
Final energy: -88.66 eV/f.u.

a = 8.9877 Å, b = 8.8759 Å, c = 8.9884 Å
α = 120.42°, β = 120.00°, γ = 90.00°
Fractional coordinates of all 16 atoms:
Ac (0.7418, 0.2441, 0.0024)
S (0.5000, 0.0000, 0.0000)
S (0.0000, 0.0000, 0.0000)
Ge (0.5000, 0.5000, 0.5000)
Ac (0.2499, 0.2496, 0.4998)
Ac (0.2582, 0.7559, 0.9976)
Ac (0.7417, 0.2441, 0.4835)
Ac (0.7501, 0.7504, 0.5002)
Ac (0.2583, 0.7559, 0.5165)
Br (0.0000, 0.5000, 0.0000)
S (0.5000, 0.0000, 0.5000)
Ge (0.5000, 0.5000, 0.0000)
S (0.0000, 0.0000, 0.5000)
Ac (0.7394, 0.7559, 0.9976)
Ac (0.2606, 0.2441, 0.0024)
Ge (0.0000, 0.5000, 0.5000)



Entry 5:
The following is a PBE-GGA calculation of a relaxed structure of Ac6Ge2SBr3, from Alexandria.

Computed properties:
Calculated volume: 33.40 Å³ per atom
Size of the total moment: 0.000 μB per atom
SG: C2/m (12)
Final energy: -58.56 eV/f.u.

a = 4.5546 Å, b = 9.1025 Å, c = 10.2564 Å
α = 104.47°, β = 102.83°, γ = 90.00°
Fractional coordinates of all 12 atoms:
Ac (0.0038, 0.2236, 0.0077)
Br (0.5000, 0.5000, 0.0000)
Ac (0.9962, 0.7764, 0.9923)
Ac (0.3262, 0.4332, 0.6524)
S (0.5000, 0.0000, 0.0000)
Ac (0.3462, 0.9066, 0.6925)
Ac (0.6538, 0.0934, 0.3075)
Ge (0.8364, 0.6708, 0.6727)
Br (0.8250, 0.1606, 0.6499)
Ge (0.1636, 0.3292, 0.3273)
Ac (0.6738, 0.5668, 0.3476)
Br (0.1750, 0.8394, 0.3501)



Entry 6:
The following is a PBE-GGA calculation of a relaxed structure of Ac6Ge3S2Br, from Alexandria.

Computed properties:
Calculated volume: 32.75 Å³ per atom
Size of the total moment: 0.000 μB per atom
SG: C2/m (12)
Final energy: -64.16 eV/f.u.

a = 4.5650 Å, b = 8.9826 Å, c = 10.0419 Å
α = 101.17°, β = 103.14°, γ = 90.00°
Fractional coordinates of all 12 atoms:
Br (0.5000, 0.0000, 0.0000)
Ac (0.3260, 0.9128, 0.6519)
Ac (0.0015, 0.2680, 0.0030)
S (0.8322, 0.6650, 0.6644)
Ac (0.3335, 0.4133, 0.6670)
Ac (0.6740, 0.0872, 0.3481)
Ge (0.8369, 0.1649, 0.6739)
Ge (0.5000, 0.5000, 0.0000)
S (0.1678, 0.3350, 0.3356)
Ge (0.1631, 0.8351, 0.3261)
Ac (0.6665, 0.5867, 0.3330)
Ac (0.9985, 0.7320, 0.9970)



Entry 7:
The following is a PBE-GGA calculation of a relaxed structure of Ac4GeS2Br, from Alexandria.

Computed properties:
Calculated volume: 31.06 Å³ per atom
Size of the total moment: 0.000 μB per atom
SG: P2/m (10)
Final energy: -43.26 eV/f.u.

a = 4.4387 Å, b = 7.6830 Å, c = 7.7143 Å
α = 70.82°, β = 90.00°, γ = 90.00°
Fractional coordinates of all 8 atoms:
S (0.0000, 0.0000, 0.0000)
Ac (0.0000, 0.2281, 0.2728)
Br (0.5000, 0.5000, 0.0000)
Ac (0.5000, 0.7613, 0.2592)
S (0.5000, 0.0000, 0.5000)
Ge (0.0000, 0.5000, 0.5000)
Ac (0.0000, 0.7719, 0.7272)
Ac (0.5000, 0.2387, 0.7408)



Entry 8:
The following is a PBE-GGA calculation of a relaxed structure of Ac8Ge3SBr4, from Alexandria.

Computed properties:
Calculated volume: 33.82 Å³ per atom
Size of the total moment: 0.000 μB per atom
SG: R-3m (166)
Final energy: -77.63 eV/f.u.

a = 9.0678 Å, b = 9.2271 Å, c = 9.0681 Å
α = 119.43°, β = 120.00°, γ = 90.00°
Fractional coordinates of all 16 atoms:
Ac (0.7443, 0.7139, 0.9791)
Ac (0.2557, 0.2861, 0.0209)
Br (0.5000, 0.0000, 0.0000)
S (0.0000, 0.5000, 0.0000)
Ac (0.2348, 0.7139, 0.9791)
Ge (0.0000, 0.5000, 0.5000)
Ge (0.5000, 0.5000, 0.0000)
Br (0.5000, 0.0000, 0.5000)
Ac (0.2603, 0.2808, 0.5205)
Ge (0.5000, 0.5000, 0.5000)
Ac (0.7397, 0.7192, 0.4795)
Ac (0.7652, 0.2860, 0.5304)
Ac (0.7652, 0.2861, 0.0209)
Ac (0.2348, 0.7140, 0.4696)
Br (0.0000, 0.0000, 0.0000)
Br (0.0000, 0.0000, 0.5000)



Entry 9:
The following is a PBE-GGA calculation of a relaxed structure of Ac6Ge2S3Br, from Alexandria.

Computed properties:
Calculated volume: 31.40 Å³ per atom
Size of the total moment: 0.000 μB per atom
SG: C2/m (12)
Final energy: -65.92 eV/f.u.

a = 4.4714 Å, b = 8.9206 Å, c = 9.9288 Å
α = 102.08°, β = 103.01°, γ = 90.00°
Fractional coordinates of all 12 atoms:
Ac (0.6674, 0.5823, 0.3349)
Ac (0.3326, 0.4177, 0.6651)
S (0.8356, 0.1635, 0.6712)
Ac (0.9995, 0.7259, 0.9990)
Br (0.5000, 0.0000, 0.0000)
Ge (0.1634, 0.3267, 0.3269)
Ac (0.0005, 0.2741, 0.0010)
S (0.1644, 0.8365, 0.3288)
S (0.5000, 0.5000, 0.0000)
Ac (0.3255, 0.9100, 0.6510)
Ge (0.8366, 0.6733, 0.6731)
Ac (0.6745, 0.0900, 0.3490)



Entry 10:
The following is a PBE-GGA calculation of a relaxed structure of Ac4Ge2SBr, from Alexandria.

Computed properties:
Calculated volume: 33.10 Å³ per atom
Size of the total moment: 0.000 μB per atom
SG: P2/m (10)
Final energy: -41.61 eV/f.u.

a = 4.5784 Å, b = 7.7319 Å, c = 7.9531 Å
α = 70.14°, β = 90.00°, γ = 90.00°
Fractional coordinates of all 8 atoms:
Ge (0.0000, 0.0000, 0.0000)
Ac (0.0000, 0.7675, 0.7340)
Ge (0.5000, 0.0000, 0.5000)
S (0.0000, 0.5000, 0.5000)
Ac (0.5000, 0.2400, 0.7441)
Ac (0.5000, 0.7600, 0.2559)
Ac (0.0000, 0.2325, 0.2660)
Br (0.5000, 0.5000, 0.0000)



Entry 11:
The following is a PBE-GGA calculation of a relaxed structure of Ac4GeSb2Br, from Alexandria.

Computed properties:
Calculated volume: 36.60 Å³ per atom
Size of the total moment: 0.000 μB per atom
SG: P2/m (10)
Final energy: -40.27 eV/f.u.

a = 4.7179 Å, b = 8.0996 Å, c = 8.1208 Å
α = 70.67°, β = 90.00°, γ = 90.00°
Fractional coordinates of all 8 atoms:
Ac (0.5000, 0.2599, 0.7360)
Br (0.5000, 0.5000, 0.0000)
Sb (0.5000, 0.0000, 0.5000)
Ac (0.0000, 0.7505, 0.7344)
Ac (0.0000, 0.2495, 0.2656)
Sb (0.0000, 0.0000, 0.0000)
Ac (0.5000, 0.7401, 0.2640)
Ge (0.0000, 0.5000, 0.5000)



Entry 12:
The following is a PBE-GGA calculation of a relaxed structure of Ac8Ge3SeBr4, from Alexandria.

Computed properties:
Calculated volume: 34.17 Å³ per atom
Size of the total moment: 0.000 μB per atom
SG: R-3m (166)
Final energy: -76.75 eV/f.u.

a = 9.1864 Å, b = 9.1690 Å, c = 9.1872 Å
α = 120.06°, β = 120.00°, γ = 90.00°
Fractional coordinates of all 16 atoms:
Ge (0.5000, 0.5000, 0.5000)
Ge (0.5000, 0.5000, 0.0000)
Br (0.5000, 0.0000, 0.5000)
Ac (0.2602, 0.2806, 0.5204)
Ac (0.7571, 0.2802, 0.0231)
Se (0.0000, 0.5000, 0.0000)
Ac (0.2429, 0.7198, 0.9769)
Ac (0.2429, 0.7198, 0.4857)
Ac (0.7340, 0.7198, 0.9769)
Ac (0.2660, 0.2802, 0.0231)
Ac (0.7398, 0.7194, 0.4796)
Br (0.5000, 0.0000, 0.0000)
Br (0.0000, 0.0000, 0.5000)
Ac (0.7571, 0.2802, 0.5143)
Br (0.0000, 0.0000, 0.0000)
Ge (0.0000, 0.5000, 0.5000)



Entry 13:
The following is a PBE-GGA calculation of a relaxed structure of Ac6Ge3Se2Br, from Alexandria.

Computed properties:
Calculated volume: 34.03 Å³ per atom
Size of the total moment: 0.000 μB per atom
SG: C2/m (12)
Final energy: -62.75 eV/f.u.

a = 4.5975 Å, b = 9.1428 Å, c = 10.2183 Å
α = 102.29°, β = 103.00°, γ = 90.00°
Fractional coordinates of all 12 atoms:
Ac (0.3260, 0.9203, 0.6520)
Ac (0.9978, 0.2688, 0.9956)
Br (0.5000, 0.0000, 0.0000)
Se (0.1664, 0.3328, 0.3328)
Ac (0.6645, 0.5906, 0.3289)
Ge (0.5000, 0.5000, 0.0000)
Ac (0.3355, 0.4094, 0.6711)
Ac (0.6740, 0.0797, 0.3480)
Se (0.8336, 0.6672, 0.6672)
Ge (0.8357, 0.1655, 0.6714)
Ac (0.0022, 0.7312, 0.0044)
Ge (0.1643, 0.8345, 0.3286)



Entry 14:
The following is a PBE-GGA calculation of a relaxed structure of Ac4GeSeBr2, from Alexandria.

Computed properties:
Calculated volume: 33.53 Å³ per atom
Size of the total moment: 0.000 μB per atom
SG: P2/m (10)
Final energy: -38.54 eV/f.u.

a = 4.6034 Å, b = 7.9014 Å, c = 7.8455 Å
α = 70.04°, β = 90.00°, γ = 90.00°
Fractional coordinates of all 8 atoms:
Br (0.5000, 0.0000, 0.5000)
Se (0.0000, 0.5000, 0.5000)
Ac (0.5000, 0.7210, 0.2563)
Ge (0.5000, 0.5000, 0.0000)
Ac (0.0000, 0.7210, 0.7626)
Ac (0.5000, 0.2790, 0.7437)
Ac (0.0000, 0.2790, 0.2374)
Br (0.0000, 0.0000, 0.0000)



Entry 15:
The following is a PBE-GGA calculation of a relaxed structure of Ac6SiGe2Br3, from Alexandria.

Computed properties:
Calculated volume: 34.64 Å³ per atom
Size of the total moment: 0.000 μB per atom
SG: C2/m (12)
Final energy: -57.66 eV/f.u.

a = 4.6117 Å, b = 9.2151 Å, c = 10.3131 Å
α = 102.96°, β = 102.92°, γ = 90.00°
Fractional coordinates of all 12 atoms:
Br (0.5000, 0.5000, 0.0000)
Ac (0.6734, 0.5650, 0.3467)
Ge (0.8332, 0.6673, 0.6663)
Br (0.1672, 0.8326, 0.3343)
Ac (0.3266, 0.4350, 0.6533)
Ac (0.0063, 0.2291, 0.0126)
Br (0.8328, 0.1674, 0.6657)
Si (0.5000, 0.0000, 0.0000)
Ac (0.9937, 0.7709, 0.9874)
Ge (0.1668, 0.3327, 0.3337)
Ac (0.3419, 0.9020, 0.6837)
Ac (0.6581, 0.0980, 0.3163)



Entry 16:
The following is a PBE-GGA calculation of a relaxed structure of Ac4SiGeBr2, from Alexandria.

Computed properties:
Calculated volume: 34.62 Å³ per atom
Size of the total moment: 0.000 μB per atom
SG: P2/m (10)
Final energy: -38.59 eV/f.u.

a = 4.6059 Å, b = 7.9660 Å, c = 8.0052 Å
α = 109.43°, β = 90.00°, γ = 90.00°
Fractional coordinates of all 8 atoms:
Ac (0.5000, 0.2412, 0.2172)
Br (0.5000, 0.0000, 0.5000)
Ac (0.0000, 0.2636, 0.7836)
Si (0.5000, 0.5000, 0.0000)
Ge (0.0000, 0.0000, 0.0000)
Ac (0.5000, 0.7588, 0.7828)
Br (0.0000, 0.5000, 0.5000)
Ac (0.0000, 0.7364, 0.2164)



Entry 17:
The following is a PBE-GGA calculation of a relaxed structure of AcSmGeBr, from Alexandria.

Computed properties:
Calculated volume: 27.62 Å³ per atom
Size of the total moment: 0.000 μB per atom
SG: F-43m (216)
Polymorph energy (0 for the lowest one): 0.000 eV per atom
Final energy: -18.78 eV/f.u.

a = 5.3861 Å, b = 5.3861 Å, c = 5.3861 Å
α = 60.00°, β = 60.00°, γ = 60.00°
Fractional coordinates of all 4 atoms:
Br (0.2500, 0.2500, 0.2500)
Ge (0.7500, 0.7500, 0.7500)
Sm (0.5000, 0.5000, 0.5000)
Ac (0.0000, 0.0000, 0.0000)



Entry 18:
The following is a PBE-GGA calculation of a relaxed structure of AcSmGeBr, from Alexandria.

Computed properties:
Calculated volume: 36.22 Å³ per atom
Size of the total moment: 0.000 μB per atom
SG: Amm2 (38)
Polymorph energy (0 for the lowest one): 0.147 eV per atom
Final energy: -18.19 eV/f.u.

a = 4.7844 Å, b = 5.4551 Å, c = 6.1772 Å
α = 90.00°, β = 90.00°, γ = 116.01°
Fractional coordinates of all 4 atoms:
Ac (0.1556, 0.3111, 0.5000)
Br (0.8510, 0.7019, 0.5000)
Ge (0.1605, 0.3209, 0.0000)
Sm (0.8453, 0.6907, 0.0000)



Entry 19:
The following is a PBE-GGA calculation of a relaxed structure of Ac4SnGeBr2, from Alexandria.

Computed properties:
Calculated volume: 35.92 Å³ per atom
Size of the total moment: 0.000 μB per atom
SG: P2/m (10)
Final energy: -37.06 eV/f.u.

a = 4.7430 Å, b = 7.8297 Å, c = 8.2602 Å
α = 69.51°, β = 90.00°, γ = 90.00°
Fractional coordinates of all 8 atoms:
Ac (0.0000, 0.7326, 0.7436)
Ac (0.5000, 0.7262, 0.2685)
Sn (0.5000, 0.5000, 0.0000)
Ac (0.5000, 0.2738, 0.7315)
Ge (0.0000, 0.5000, 0.5000)
Br (0.0000, 0.0000, 0.0000)
Ac (0.0000, 0.2674, 0.2564)
Br (0.5000, 0.0000, 0.5000)



Entry 20:
The following is a PBE-GGA calculation of a relaxed structure of Ac6SnGe2Br3, from Alexandria.

Computed properties:
Calculated volume: 35.57 Å³ per atom
Size of the total moment: 0.000 μB per atom
SG: C2/m (12)
Final energy: -56.13 eV/f.u.

a = 4.7006 Å, b = 9.1999 Å, c = 10.3262 Å
α = 100.74°, β = 103.16°, γ = 90.00°
Fractional coordinates of all 12 atoms:
Ac (0.6737, 0.5687, 0.3475)
Ac (0.9904, 0.7499, 0.9808)
Br (0.1643, 0.8336, 0.3286)
Ac (0.3335, 0.8911, 0.6670)
Ge (0.1678, 0.3365, 0.3356)
Br (0.5000, 0.5000, 0.0000)
Ac (0.0096, 0.2501, 0.0192)
Ac (0.6665, 0.1089, 0.3330)
Ac (0.3263, 0.4313, 0.6525)
Br (0.8357, 0.1664, 0.6714)
Ge (0.8322, 0.6635, 0.6644)
Sn (0.5000, 0.0000, 0.0000)



ΔE_f (raw)? In order: -979 -904 -933 -1485 -1294 -1311 -1535 -1256 -1498 -1268 -1162 -1241 -1301 -1332 -1111 -1096 -916 -769 -1083 -1102 meV/atom.